Entry 1:
Below is an optimized crystal structure of Mo3IrAu, with properties calculated at the PBE level.

Properties
M_tot in Bohr magnetons per cell: 0.000
Symmetry: Pm-3m

a b c (Å): 4.724 4.724 4.724
angles (deg): 90.00 90.00 90.00
Sites, in units of the cell vectors:
Au  0.500  0.500  0.500
Mo  0.000  0.500  0.000
Mo  0.000  0.000  0.500
Ir  0.000  0.000  0.000
Mo  0.500  0.000  0.000

Entry 2:
Below is an optimized crystal structure of MoIr2Au2, with properties calculated at the PBE level.

Properties
M_tot in Bohr magnetons per cell: 0.000
Symmetry: P4/mbm

a b c (Å): 6.540 6.540 4.100
angles (deg): 90.00 90.00 90.00
Sites, in units of the cell vectors:
Au  0.330  0.170  0.500
Au  0.670  0.830  0.500
Mo  0.000  0.000  0.000
Ir  0.865  0.635  0.000
Mo  0.500  0.500  0.000
Au  0.170  0.670  0.500
Au  0.830  0.330  0.500
Ir  0.365  0.865  0.000
Ir  0.135  0.365  0.000
Ir  0.635  0.135  0.000

Entry 3:
Below is an optimized crystal structure of MoIr2Au, with properties calculated at the PBE level.

Properties
M_tot in Bohr magnetons per cell: 0.000
Symmetry: P4mm

a b c (Å): 2.765 2.765 8.147
angles (deg): 90.00 90.00 90.00
Sites, in units of the cell vectors:
Ir  0.500  0.500  0.247
Ir  0.000  0.000  0.014
Mo  0.000  0.000  0.489
Au  0.500  0.500  0.750

Entry 4:
Below is an optimized crystal structure of MoIr4Au, with properties calculated at the PBE level.

Properties
M_tot in Bohr magnetons per cell: 0.000
Symmetry: F-43m

a b c (Å): 5.157 5.157 5.157
angles (deg): 60.00 60.00 60.00
Sites, in units of the cell vectors:
Ir  0.625  0.625  0.625
Au  0.000  0.000  0.000
Ir  0.625  0.125  0.625
Ir  0.625  0.625  0.125
Mo  0.250  0.250  0.250
Ir  0.125  0.625  0.625

Entry 5:
Below is an optimized crystal structure of MoIrAu, with properties calculated at the PBE level.

Properties
M_tot in Bohr magnetons per cell: 0.000
Symmetry: Fmm2

a b c (Å): 7.601 7.383 2.748
angles (deg): 83.95 74.98 21.07
Sites, in units of the cell vectors:
Mo  0.675  0.675  0.325
Ir  0.324  0.324  0.676
Au  0.001  0.001  0.999

Entry 6:
Below is an optimized crystal structure of MoIr3Au, with properties calculated at the PBE level.

Properties
M_tot in Bohr magnetons per cell: 0.000
Symmetry: Pm-3m

a b c (Å): 4.762 4.762 4.762
angles (deg): 90.00 90.00 90.00
Sites, in units of the cell vectors:
Ir  0.000  0.000  0.500
Mo  0.500  0.500  0.500
Au  0.000  0.000  0.000
Ir  0.000  0.500  0.000
Ir  0.500  0.000  0.000

Entry 7:
Below is an optimized crystal structure of MoIrAu, with properties calculated at the PBE level.

Properties
M_tot in Bohr magnetons per cell: 0.000
Symmetry: I4mm

a b c (Å): 6.313 6.313 6.313
angles (deg): 153.97 153.97 37.14
Sites, in units of the cell vectors:
Mo  0.678  0.678  0.000
Au  0.002  0.002  0.000
Ir  0.320  0.320  0.000

Entry 8:
Below is an optimized crystal structure of MoIr2Au2, with properties calculated at the PBE level.

Properties
M_tot in Bohr magnetons per cell: 1.183
Symmetry: I4/mmm

a b c (Å): 3.642 3.642 7.252
angles (deg): 75.46 75.46 90.00
Site moments in Bohr magnetons follow the coordinates.
Sites, in units of the cell vectors:
Ir  0.408  0.408  0.184  -0.02
Au  0.750  0.250  0.500  0.02
Au  0.250  0.750  0.500  0.02
Mo  0.000  0.000  0.000  1.03
Ir  0.592  0.592  0.816  -0.02

Entry 9:
Below is an optimized crystal structure of MoIrAu, with properties calculated at the PBE level.

Properties
M_tot in Bohr magnetons per cell: 0.000
Symmetry: P3m1

a b c (Å): 2.805 2.805 7.096
angles (deg): 90.00 90.00 120.00
Sites, in units of the cell vectors:
Mo  0.333  0.667  0.649
Ir  0.667  0.333  0.353
Au  0.000  0.000  0.998

Entry 10:
Below is an optimized crystal structure of MoIr2Au, with properties calculated at the PBE level.

Properties
M_tot in Bohr magnetons per cell: 0.002
Symmetry: R-3m

a b c (Å): 9.432 9.432 9.432
angles (deg): 17.07 17.07 17.07
Sites, in units of the cell vectors:
Mo  0.250  0.250  0.250
Ir  0.994  0.994  0.994
Au  0.750  0.750  0.750
Ir  0.506  0.506  0.506

Entry 11:
Below is an optimized crystal structure of MoIr2Au, with properties calculated at the PBE level.

Properties
M_tot in Bohr magnetons per cell: 0.942
Symmetry: Fm-3m

a b c (Å): 4.479 4.479 4.479
angles (deg): 60.00 60.00 60.00
Site moments in Bohr magnetons follow the coordinates.
Sites, in units of the cell vectors:
Ir  0.250  0.250  0.250  0.27
Ir  0.750  0.750  0.750  0.27
Mo  0.000  0.000  0.000  0.38
Au  0.500  0.500  0.500  -0.01

Entry 12:
Below is an optimized crystal structure of MoIr2Au, with properties calculated at the PBE level.

Properties
M_tot in Bohr magnetons per cell: 0.000
Symmetry: I-42d

a b c (Å): 7.149 7.149 5.756
angles (deg): 51.61 51.61 90.00
Sites, in units of the cell vectors:
Au  0.000  0.000  0.000
Ir  0.875  0.838  0.750
Mo  0.250  0.750  0.500
Mo  0.500  0.500  0.000
Au  0.750  0.250  0.500
Ir  0.162  0.625  0.250
Ir  0.375  0.412  0.750
Ir  0.588  0.125  0.250

no.,energy of formation from the pure elements (eV/atom),E (eV/cell)
1,1.53,-36.98
2,0.50,-65.26
3,0.11,-31.38
4,0.38,-47.30
5,0.26,-22.20
6,2.65,-27.43
7,0.02,-22.92
8,0.73,-31.47
9,0.05,-22.83
10,-0.01,-31.88
11,0.35,-30.44
12,0.50,-59.65